The following is a PBE calculation of a relaxed RbSi3P crystal, from Alexandria via LeMat-Bulk.

Excess energy over the best structure of this formula in the dataset   0.0 meV/atom
Spin magnetization   0.000 μB per cell
ΔE_f (raw)   0.771 eV/atom

Lattice parameters (Å, degrees): 4.9024 4.9024 4.9024 90.00 90.00 90.00
Space group Pm-3m (No. 221)
One atom of each set of equivalent atoms:
1 Rb 0.0000 0.0000 0.0000 (multiplicity 1)
2 Si 0.0000 0.5000 0.5000 (multiplicity 3)
3 P 0.5000 0.5000 0.5000 (multiplicity 1)

The following is a PBE calculation of a relaxed MnSi2Cl crystal, from Alexandria via LeMat-Bulk.

Excess energy over the best structure of this formula in the dataset   456.7 meV/atom
Spin magnetization   3.180 μB per cell
ΔE_f (raw)   0.434 eV/atom

Lattice parameters (Å, degrees): 4.8169 4.8169 2.7486 90.00 90.00 90.00
Space group P4/mmm (No. 123)
One atom of each set of equivalent atoms:
1 Mn 0.0000 0.0000 0.0000 (multiplicity 1)
2 Si 0.0000 0.5000 0.5000 (multiplicity 2)
3 Cl 0.5000 0.5000 0.0000 (multiplicity 1)

The following is a PBE calculation of a relaxed Pr4Y3Th crystal, from Alexandria via LeMat-Bulk.

Excess energy over the best structure of this formula in the dataset   155.6 meV/atom
Spin magnetization   0.000 μB per cell
Energy relative to the elements   167 meV per atom

Lattice parameters (Å, degrees): 23.9402 3.4863 6.9238 90.00 106.36 90.00
Space group C2/m (No. 12)
One atom of each set of equivalent atoms:
1 Pr 0.1210 0.0000 0.3606 (multiplicity 4)
2 Pr 0.2420 0.5000 0.2356 (multiplicity 4)
3 Y 0.0000 0.0000 0.5000 (multiplicity 2)
4 Y 0.1217 0.0000 0.8828 (multiplicity 4)
5 Th 0.0000 0.5000 0.0000 (multiplicity 2)

The following is a PBE calculation of a relaxed Ba2AgIr crystal, from Alexandria via LeMat-Bulk.

Excess energy over the best structure of this formula in the dataset   106.1 meV/atom
Spin magnetization   0.000 μB per cell
Energy relative to the elements   17 meV per atom

Lattice parameters (Å, degrees): 5.5766 5.5766 3.8767 90.00 90.00 90.00
Space group P4/mmm (No. 123)
One atom of each set of equivalent atoms:
1 Ba 0.0000 0.5000 0.0000 (multiplicity 2)
2 Ag 0.0000 0.0000 0.5000 (multiplicity 1)
3 Ir 0.5000 0.5000 0.5000 (multiplicity 1)

The following is a PBE calculation of a relaxed Tb12IrPd6 crystal, from Alexandria via LeMat-Bulk.

Spin magnetization   0.000 μB per cell
Energy relative to the elements   -562 meV per atom

Lattice parameters (Å, degrees): 12.5454 12.5454 11.9015 90.00 90.00 120.00
Space group R-3 (No. 148, hexagonal axes)
One atom of each set of equivalent atoms:
1 Tb 0.0249 0.2098 0.3910 (multiplicity 18)
2 Tb 0.0388 0.2011 0.8803 (multiplicity 18)
3 Ir 0.0000 0.0000 0.0000 (multiplicity 3)
4 Pd 0.0412 0.2648 0.6448 (multiplicity 18)

The following is a PBE calculation of a relaxed Ba2InGe crystal, from Alexandria via LeMat-Bulk.

Spin magnetization   0.000 μB per cell
Energy relative to the elements   -63 meV per atom

Lattice parameters (Å, degrees): 9.4003 9.4003 7.1748 90.00 90.00 90.00
Space group I-42d (No. 122)
One atom of each set of equivalent atoms:
1 Ba 0.2133 0.7500 0.1250 (multiplicity 8)
2 In 0.0000 0.0000 0.5000 (multiplicity 4)
3 Ge 0.0000 0.0000 0.0000 (multiplicity 4)

The following is a PBE calculation of a relaxed Dy12HoCo5 crystal, from Alexandria via LeMat-Bulk.

Spin magnetization   0.002 μB per cell
Energy relative to the elements   -123 meV per atom

Lattice parameters (Å, degrees): 9.4652 9.5471 9.9420 90.00 90.00 90.00
Space group Immm (No. 71)
One atom of each set of equivalent atoms:
1 Dy 0.0000 0.1912 0.2007 (multiplicity 8)
2 Dy 0.1881 0.5000 0.1860 (multiplicity 8)
3 Dy 0.2070 0.3174 0.5000 (multiplicity 8)
4 Ho 0.0000 0.0000 0.5000 (multiplicity 2)
5 Co 0.0000 0.0000 0.0000 (multiplicity 2)
6 Co 0.0000 0.3757 0.0000 (multiplicity 4)
7 Co 0.0000 0.5000 0.3874 (multiplicity 4)

The following is a PBE calculation of a relaxed SbOs2IN crystal, from Alexandria via LeMat-Bulk.

Spin magnetization   0.001 μB per cell
ΔE_f (raw)   1.256 eV/atom

Lattice parameters (Å, degrees): 4.0160 4.0160 6.2474 90.00 90.00 90.00
Space group P4/mmm (No. 123)
One atom of each set of equivalent atoms:
1 Sb 0.0000 0.0000 0.0000 (multiplicity 1)
2 Os 0.0000 0.5000 0.5000 (multiplicity 2)
3 I 0.5000 0.5000 0.0000 (multiplicity 1)
4 N 0.5000 0.5000 0.5000 (multiplicity 1)